{"formula": "YTlFeSe3", "functional": "GGA-PBE", "state": "relaxed", "m_tot_mub_per_fu": 3.97, "total_energy_ev_per_atom": -5.3992, "spacegroup": "C2/m", "lattice_angstrom": [[8.6222, -2.0904, 0.0000], [8.6222, 2.0904, 0.0000], [-2.1071, 0.0000, 8.7110]], "species": ["Y", "Se", "Tl", "Se", "Se", "Y", "Fe", "Se", "Fe", "Tl", "Se", "Se"], "frac_coords": [[0.1702, 0.1702, 0.0883], [0.6552, 0.6552, 0.2915], [0.8592, 0.8592, 0.4351], [0.6592, 0.6592, 0.8622], [0.3448, 0.3448, 0.7085], [0.8298, 0.8298, 0.9117], [0.5043, 0.5043, 0.2119], [0.3408, 0.3408, 0.1378], [0.4957, 0.4957, 0.7881], [0.1408, 0.1408, 0.5649], [0.5000, 0.5000, 0.5000], [0.0000, 0.0000, 0.0000]]}

---

{"formula": "Tm2FeSe", "functional": "GGA-PBE", "state": "relaxed", "m_tot_mub_per_fu": 1.27, "total_energy_ev_per_atom": -5.8232, "spacegroup": "C2/m", "lattice_angstrom": [[7.4510, -1.8610, 0.0000], [7.4510, 1.8610, 0.0000], [-0.9398, 0.0000, 6.3938]], "species": ["Fe", "Tm", "Se", "Fe", "Tm", "Se", "Tm", "Tm"], "frac_coords": [[0.0000, 0.0000, 0.0000], [0.8802, 0.8802, 0.6270], [0.2499, 0.2499, 0.7498], [0.5000, 0.5000, 0.5000], [0.3800, 0.3800, 0.1266], [0.7501, 0.7501, 0.2502], [0.6200, 0.6200, 0.8734], [0.1198, 0.1198, 0.3730]]}

---

{"formula": "U8FeSe17", "functional": "GGA-PBE", "state": "relaxed", "m_tot_mub_per_fu": 16.01, "total_energy_ev_per_atom": -7.1480, "spacegroup": "C2/m", "lattice_angstrom": [[6.8886, -4.3473, 0.0000], [6.8886, 4.3473, 0.0000], [-2.1486, 0.0000, 10.5607]], "species": ["U", "U", "Se", "Se", "Se", "Se", "U", "Se", "Se", "U", "Se", "Se", "Se", "U", "Se", "Fe", "Se", "U", "Se", "Se", "Se", "Se", "Se", "Se", "U", "U"], "frac_coords": [[0.3023, 0.8208, 0.7032], [0.8208, 0.3023, 0.7032], [0.0542, 0.6838, 0.0225], [0.5216, 0.5216, 0.1697], [0.9447, 0.9447, 0.7777], [0.4784, 0.4784, 0.8303], [0.6977, 0.1792, 0.2968], [0.9458, 0.3162, 0.9775], [0.0553, 0.0553, 0.2223], [0.7987, 0.7987, 0.5444], [0.1822, 0.5647, 0.5373], [0.7838, 0.7838, 0.2763], [0.7013, 0.7013, 0.7561], [0.1792, 0.6977, 0.2968], [0.4353, 0.8178, 0.4627], [0.0000, 0.0000, 0.0000], [0.3162, 0.9458, 0.9775], [0.6802, 0.6802, 0.0142], [0.5647, 0.1822, 0.5373], [0.2162, 0.2162, 0.7237], [0.8178, 0.4353, 0.4627], [0.2987, 0.2987, 0.2439], [0.0000, 0.0000, 0.5000], [0.6838, 0.0542, 0.0225], [0.3198, 0.3198, 0.9858], [0.2013, 0.2013, 0.4556]]}

---

{"formula": "U2FeSe5", "functional": "GGA-PBE", "state": "relaxed", "m_tot_mub_per_fu": 3.53, "total_energy_ev_per_atom": -6.8667, "spacegroup": "C2/c", "lattice_angstrom": [[-3.1031, -5.3451, -1.6565], [-3.4730, 0.0240, 6.4284], [-3.5087, 6.8301, -3.1075]], "species": ["Se", "Se", "Fe", "Fe", "U", "Se", "Se", "U", "Se", "Se", "Se", "Se", "Se", "U", "Se", "U"], "frac_coords": [[0.9008, 0.2500, 0.0000], [0.5206, 0.5734, 0.8182], [0.0000, 0.0000, 0.5000], [0.5000, 0.5000, 0.5000], [0.6880, 0.9090, 0.7828], [0.6920, 0.1871, 0.5581], [0.3080, 0.8129, 0.4419], [0.0948, 0.4090, 0.7828], [0.8661, 0.6871, 0.5581], [0.7024, 0.9266, 0.1818], [0.4794, 0.4266, 0.1818], [0.2976, 0.0734, 0.8182], [0.1339, 0.3129, 0.4419], [0.3120, 0.0910, 0.2172], [0.0992, 0.7500, 0.0000], [0.9052, 0.5910, 0.2172]]}

---

{"formula": "Y2FeSe4", "functional": "GGA-PBE", "state": "relaxed", "m_tot_mub_per_fu": 4.00, "total_energy_ev_per_atom": -6.3334, "spacegroup": "Fd-3m", "lattice_angstrom": [[6.1644, -4.3553, 2.9838], [-0.4959, -8.0973, 0.2435], [4.5730, -4.4971, -4.9735]], "species": ["Se", "Y", "Se", "Fe", "Se", "Se", "Fe", "Se", "Se", "Se", "Se", "Y", "Y", "Y"], "frac_coords": [[0.6247, 0.1251, 0.1251], [0.3750, 0.3750, 0.8750], [0.1251, 0.1251, 0.6247], [0.0000, 0.0000, 0.0000], [0.6249, 0.1253, 0.6249], [0.1251, 0.1251, 0.1251], [0.7500, 0.7500, 0.7500], [0.6249, 0.6249, 0.6249], [0.1253, 0.6249, 0.6249], [0.6249, 0.6249, 0.1253], [0.1251, 0.6247, 0.1251], [0.3750, 0.8750, 0.3750], [0.3750, 0.3750, 0.3750], [0.8750, 0.3750, 0.3750]]}

---

{"formula": "Y6FeSe2", "functional": "GGA-PBE", "state": "relaxed", "m_tot_mub_per_fu": 0.00, "total_energy_ev_per_atom": -6.7057, "spacegroup": "P-62m", "lattice_angstrom": [[-2.0554, 7.6359, 1.5207], [-2.0122, -3.3893, -7.0220], [-3.3701, -1.2164, 1.5528]], "species": ["Y", "Y", "Y", "Se", "Y", "Fe", "Se", "Y", "Y"], "frac_coords": [[0.4057, 0.0000, 0.0000], [0.0000, 0.4057, 0.0000], [0.5943, 0.5943, 0.0000], [0.6667, 0.3333, 0.5000], [0.0000, 0.7589, 0.5000], [0.0000, 0.0000, 0.0000], [0.3333, 0.6667, 0.5000], [0.7589, 0.0000, 0.5000], [0.2411, 0.2411, 0.5000]]}

---

{"formula": "Fe2Si", "functional": "GGA-PBE", "state": "relaxed", "m_tot_mub_per_fu": 3.75, "total_energy_ev_per_atom": -6.7812, "spacegroup": "P4_2/mnm", "lattice_angstrom": [[-2.0556, 3.6979, 2.5006], [-4.1760, -2.5657, 0.3614], [1.1490, -1.4376, 3.0706]], "species": ["Fe", "Fe", "Si", "Fe", "Fe", "Si"], "frac_coords": [[0.6857, 0.6857, 0.0000], [0.1857, 0.8143, 0.5000], [0.5000, 0.5000, 0.5000], [0.8143, 0.1857, 0.5000], [0.3143, 0.3143, 0.0000], [0.0000, 0.0000, 0.0000]]}

---

{"formula": "FeSi64", "functional": "GGA-PBE", "state": "relaxed", "m_tot_mub_per_fu": 2.00, "total_energy_ev_per_atom": -5.4490, "spacegroup": "P-43m", "lattice_angstrom": [[-2.3231, -6.1495, -8.7307], [-3.5020, -8.0021, 6.5681], [-10.0884, 4.1938, -0.2695]], "species": ["Si", "Si", "Si", "Si", "Si", "Si", "Si", "Si", "Si", "Si", "Si", "Si", "Si", "Si", "Si", "Si", "Si", "Si", "Si", "Si", "Si", "Si", "Si", "Si", "Si", "Si", "Si", "Si", "Si", "Si", "Si", "Si", "Si", "Si", "Si", "Si", "Si", "Si", "Si", "Si", "Si", "Si", "Si", "Si", "Si", "Fe", "Si", "Si", "Si", "Si", "Si", "Si", "Si", "Si", "Si", "Si", "Si", "Si", "Si", "Si", "Si", "Si", "Si", "Si", "Si"], "frac_coords": [[0.5000, 0.0000, 0.2495], [0.8730, 0.8730, 0.8730], [0.3751, 0.3751, 0.3751], [0.5000, 0.2495, 0.0000], [0.3753, 0.3753, 0.8756], [0.6258, 0.8749, 0.1251], [0.1251, 0.3742, 0.1251], [0.2503, 0.7497, 0.7497], [0.8749, 0.1251, 0.6258], [0.0000, 0.5000, 0.7505], [0.6247, 0.3753, 0.1244], [0.8749, 0.8749, 0.3742], [0.0000, 0.2497, 0.0000], [0.5000, 0.0000, 0.7505], [0.3753, 0.1244, 0.6247], [0.2495, 0.5000, 0.0000], [0.6247, 0.6247, 0.8756], [0.3753, 0.8756, 0.3753], [0.2497, 0.0000, 0.0000], [0.2514, 0.7486, 0.2514], [0.7497, 0.2503, 0.7497], [0.6249, 0.6249, 0.3751], [0.2495, 0.0000, 0.5000], [0.5000, 0.7499, 0.5000], [0.5000, 0.2501, 0.5000], [0.5000, 0.5000, 0.2501], [0.1244, 0.3753, 0.6247], [0.8756, 0.6247, 0.6247], [0.0000, 0.0000, 0.7503], [0.3742, 0.1251, 0.1251], [0.6249, 0.3751, 0.6249], [0.1270, 0.8730, 0.1270], [0.1251, 0.1251, 0.3742], [0.0000, 0.7505, 0.5000], [0.0000, 0.2495, 0.5000], [0.7505, 0.5000, 0.0000], [0.2503, 0.2503, 0.2503], [0.8730, 0.1270, 0.1270], [0.1270, 0.1270, 0.8730], [0.3742, 0.8749, 0.8749], [0.5000, 0.5000, 0.7499], [0.2501, 0.5000, 0.5000], [0.8749, 0.3742, 0.8749], [0.3751, 0.6249, 0.6249], [0.0000, 0.5000, 0.2495], [0.0000, 0.0000, 0.0000], [0.0000, 0.0000, 0.2497], [0.1251, 0.8749, 0.6258], [0.0000, 0.7503, 0.0000], [0.2514, 0.2514, 0.7486], [0.7486, 0.2514, 0.2514], [0.1251, 0.6258, 0.8749], [0.8756, 0.3753, 0.3753], [0.7499, 0.5000, 0.5000], [0.6247, 0.1244, 0.3753], [0.7486, 0.7486, 0.7486], [0.7505, 0.0000, 0.5000], [0.6247, 0.8756, 0.6247], [0.5000, 0.7505, 0.0000], [0.7503, 0.0000, 0.0000], [0.3753, 0.6247, 0.1244], [0.6258, 0.1251, 0.8749], [0.1244, 0.6247, 0.3753], [0.7497, 0.7497, 0.2503], [0.8749, 0.6258, 0.1251]]}

---

{"formula": "FeSi2", "functional": "GGA-PBE", "state": "relaxed", "m_tot_mub_per_fu": 0.00, "total_energy_ev_per_atom": -6.7732, "spacegroup": "P4/mmm", "lattice_angstrom": [[2.6985, 0.0000, 0.0000], [0.0000, 2.6985, 0.0000], [0.0000, 0.0000, 5.1307]], "species": ["Fe", "Si", "Si"], "frac_coords": [[0.0000, 0.0000, 0.0000], [0.5000, 0.5000, 0.7275], [0.5000, 0.5000, 0.2725]]}

---

{"formula": "FeSi2", "functional": "GGA-PBE", "state": "relaxed", "m_tot_mub_per_fu": 0.00, "total_energy_ev_per_atom": -6.8305, "spacegroup": "Cmce", "lattice_angstrom": [[3.6568, 4.5717, 2.2476], [-5.2561, 0.5178, 3.3808], [2.9158, -4.9324, 5.2887]], "species": ["Si", "Si", "Si", "Fe", "Fe", "Fe", "Fe", "Si", "Si", "Si", "Si", "Si", "Si", "Si", "Si", "Si", "Si", "Fe", "Si", "Fe", "Si", "Fe", "Fe", "Si"], "frac_coords": [[0.6713, 0.4182, 0.7732], [0.9019, 0.6455, 0.5498], [0.9182, 0.1713, 0.7268], [0.2164, 0.7836, 0.0000], [0.7836, 0.2164, 0.0000], [0.6924, 0.6924, 0.3123], [0.2836, 0.7164, 0.5000], [0.0818, 0.8287, 0.2732], [0.6455, 0.9019, 0.5498], [0.5981, 0.8545, 0.0498], [0.0981, 0.3545, 0.4502], [0.1455, 0.4019, 0.9502], [0.5818, 0.3287, 0.2268], [0.8287, 0.0818, 0.2732], [0.8545, 0.5981, 0.0498], [0.3287, 0.5818, 0.2268], [0.4182, 0.6713, 0.7732], [0.8076, 0.8076, 0.8123], [0.4019, 0.1455, 0.9502], [0.1924, 0.1924, 0.1877], [0.1713, 0.9182, 0.7268], [0.3076, 0.3076, 0.6877], [0.7164, 0.2836, 0.5000], [0.3545, 0.0981, 0.4502]]}

---

{"formula": "FeSi3", "functional": "GGA-PBE", "state": "relaxed", "m_tot_mub_per_fu": 0.85, "total_energy_ev_per_atom": -5.9100, "spacegroup": "I4/mmm", "lattice_angstrom": [[-2.3204, 3.3639, 1.6564], [0.5931, 3.4395, -2.6947], [-1.2167, -4.1445, -0.8868]], "species": ["Si", "Si", "Si", "Fe"], "frac_coords": [[0.7500, 0.2500, 0.5000], [0.5000, 0.5000, 0.0000], [0.2500, 0.7500, 0.5000], [0.0000, 0.0000, 0.0000]]}

---

{"formula": "Fe2Si", "functional": "GGA-PBE", "state": "relaxed", "m_tot_mub_per_fu": 6.20, "total_energy_ev_per_atom": -5.3498, "spacegroup": "R-3m", "lattice_angstrom": [[1.2473, 1.1354, 7.1034], [4.4088, 5.4205, 2.1173], [-2.7739, 5.8903, 3.3034]], "species": ["Fe", "Fe", "Fe", "Si", "Fe", "Si"], "frac_coords": [[0.3750, 0.8750, 0.3750], [0.3750, 0.3750, 0.8750], [0.3750, 0.3750, 0.3750], [0.5000, 0.5000, 0.5000], [0.8750, 0.3750, 0.3750], [0.2500, 0.2500, 0.2500]]}

---

{"formula": "Fe3Si2", "functional": "GGA-PBE", "state": "relaxed", "m_tot_mub_per_fu": 4.77, "total_energy_ev_per_atom": -7.4649, "spacegroup": "R-3m", "lattice_angstrom": [[2.4331, 1.4047, 6.0614], [-2.4331, 1.4047, 6.0614], [0.0000, -2.8095, 6.0614]], "species": ["Si", "Fe", "Fe", "Fe", "Fe", "Si", "Fe", "Fe", "Si", "Si"], "frac_coords": [[0.6672, 0.6672, 0.6672], [0.1098, 0.6035, 0.6035], [0.6035, 0.1098, 0.6035], [0.8902, 0.3965, 0.3965], [0.6035, 0.6035, 0.1098], [0.8827, 0.8827, 0.8827], [0.3965, 0.3965, 0.8902], [0.3965, 0.8902, 0.3965], [0.3328, 0.3328, 0.3328], [0.1173, 0.1173, 0.1173]]}

---

{"formula": "FeSi3", "functional": "GGA-PBE", "state": "relaxed", "m_tot_mub_per_fu": 1.31, "total_energy_ev_per_atom": -5.8300, "spacegroup": "P6_3/mmc", "lattice_angstrom": [[-4.4344, 1.5659, -1.8429], [0.1633, -3.8733, 3.2378], [-0.4243, 2.8842, 3.4717]], "species": ["Si", "Fe", "Fe", "Si", "Si", "Si", "Si", "Si"], "frac_coords": [[0.1707, 0.8293, 0.2500], [0.3333, 0.6667, 0.7500], [0.6667, 0.3333, 0.2500], [0.8293, 0.1707, 0.7500], [0.3414, 0.1707, 0.7500], [0.8293, 0.6586, 0.7500], [0.1707, 0.3414, 0.2500], [0.6586, 0.8293, 0.2500]]}

---

{"formula": "Fe2Si3", "functional": "GGA-PBE", "state": "relaxed", "m_tot_mub_per_fu": 0.02, "total_energy_ev_per_atom": -6.8086, "spacegroup": "R-3c", "lattice_angstrom": [[3.1518, -1.8661, 3.5753], [1.7162, 0.8110, -4.7534], [2.0021, 4.4962, 4.2457]], "species": ["Si", "Si", "Fe", "Si", "Si", "Fe", "Si", "Fe", "Si", "Fe"], "frac_coords": [[0.6111, 0.7500, 0.2500], [0.1111, 0.6111, 0.7500], [0.6694, 0.3306, 0.9919], [0.7500, 0.8889, 0.7500], [0.8889, 0.3889, 0.2500], [0.3306, 0.6694, 0.0081], [0.2500, 0.1111, 0.2500], [0.1694, 0.8306, 0.4919], [0.3889, 0.2500, 0.7500], [0.8306, 0.1694, 0.5081]]}

---

{"formula": "SmFeSi2", "functional": "GGA-PBE", "state": "relaxed", "m_tot_mub_per_fu": 0.01, "total_energy_ev_per_atom": -6.6751, "spacegroup": "P2_1/m", "lattice_angstrom": [[4.3069, 0.0000, 0.0000], [0.0000, 3.9952, 0.0000], [-1.8772, 0.0000, 7.8067]], "species": ["Si", "Sm", "Fe", "Si", "Fe", "Si", "Si", "Sm"], "frac_coords": [[0.8265, 0.2500, 0.0050], [0.8970, 0.7500, 0.2943], [0.3830, 0.2500, 0.1090], [0.4546, 0.2500, 0.4020], [0.6170, 0.7500, 0.8910], [0.1735, 0.7500, 0.9950], [0.5454, 0.7500, 0.5980], [0.1030, 0.2500, 0.7057]]}

---

{"formula": "SmFeSi2Tc", "functional": "GGA-PBE", "state": "relaxed", "m_tot_mub_per_fu": 1.94, "total_energy_ev_per_atom": -7.4663, "spacegroup": "I-4m2", "lattice_angstrom": [[-1.6983, 3.1385, 4.6348], [-5.5793, 0.0939, 1.7545], [4.1355, -3.8572, -1.4952]], "species": ["Sm", "Si", "Fe", "Tc", "Si"], "frac_coords": [[0.0000, 0.0000, 0.0000], [0.3761, 0.3761, 0.0000], [0.7500, 0.2500, 0.5000], [0.2500, 0.7500, 0.5000], [0.6239, 0.6239, 0.0000]]}

---

{"formula": "SmYFe2Si4", "functional": "GGA-PBE", "state": "relaxed", "m_tot_mub_per_fu": 0.01, "total_energy_ev_per_atom": -6.9032, "spacegroup": "Pm", "lattice_angstrom": [[-2.2772, 3.1997, 1.7256], [-0.7563, -2.2585, 3.1897], [7.3988, 1.3239, 2.6918]], "species": ["Fe", "Si", "Y", "Fe", "Si", "Si", "Si", "Sm"], "frac_coords": [[0.3843, 0.0000, 0.1102], [0.8282, 0.0000, 0.0069], [0.8968, 0.5000, 0.2930], [0.6169, 0.5000, 0.8915], [0.5439, 0.5000, 0.5966], [0.1735, 0.5000, 0.9966], [0.4553, 0.0000, 0.4008], [0.1011, 0.0000, 0.7046]]}

---

{"formula": "SmYFe2Si2", "functional": "GGA-PBE", "state": "relaxed", "m_tot_mub_per_fu": 0.05, "total_energy_ev_per_atom": -7.0590, "spacegroup": "P4mm", "lattice_angstrom": [[-0.0686, -0.0131, 4.0427], [-3.4346, -2.1324, -0.0652], [3.4917, -5.6252, 0.0411]], "species": ["Fe", "Fe", "Sm", "Si", "Y", "Si"], "frac_coords": [[0.5000, 0.0000, 0.9977], [0.0000, 0.5000, 0.9977], [0.0000, 0.0000, 0.3220], [0.0000, 0.0000, 0.8235], [0.5000, 0.5000, 0.6870], [0.5000, 0.5000, 0.1721]]}

---

{"formula": "FeSiSn2", "functional": "GGA-PBE", "state": "relaxed", "m_tot_mub_per_fu": 2.17, "total_energy_ev_per_atom": -4.7878, "spacegroup": "F-43m", "lattice_angstrom": [[0.0000, 3.3583, 3.3583], [3.3583, 0.0000, 3.3583], [3.3583, 3.3583, 0.0000]], "species": ["Fe", "Si", "Sn", "Sn"], "frac_coords": [[0.2500, 0.2500, 0.2500], [0.5000, 0.5000, 0.5000], [0.0000, 0.0000, 0.0000], [0.7500, 0.7500, 0.7500]]}